# 1
First-principles (GGA-PBE) data for crystalline V2MoW at its relaxed geometry, as listed in the Alexandria database.

Values from the calculation:
offset from the most stable computed form: 160.0 kJ/mol of formula units

a = 2.574 Å, b = 4.700 Å, c = 5.287 Å
α = 91.18°, β = 90.00°, γ = 105.89°
Sites, in units of the cell vectors:
V: 0.246 0.492 0.500
V: 0.754 0.508 0.000
Mo: 0.500 0.000 0.750
W: 0.500 0.000 0.250

# 2
First-principles (GGA-PBE) data for crystalline V4MoW2 at its relaxed geometry, as listed in the Alexandria database.

Values from the calculation:
offset from the most stable computed form: 168.0 kJ/mol of formula units

a = 2.580 Å, b = 2.594 Å, c = 16.505 Å
α = 94.51°, β = 90.00°, γ = 90.00°
Sites, in units of the cell vectors:
V: 0.500 0.646 0.291
V: 0.000 0.715 0.430
V: 0.500 0.354 0.709
V: 0.000 0.285 0.570
Mo: 0.000 0.500 0.000
W: 0.500 0.072 0.144
W: 0.500 0.928 0.856

# 3
First-principles (GGA-PBE) data for crystalline VMo3W4 at its relaxed geometry, as listed in the Alexandria database.

Values from the calculation:
offset from the most stable computed form: 0.0 kJ/mol of formula units

a = 4.464 Å, b = 4.468 Å, c = 7.047 Å
α = 108.49°, β = 108.46°, γ = 90.00°
Sites, in units of the cell vectors:
Mo: 0.000 0.500 0.000
Mo: 0.877 0.876 0.753
Mo: 0.123 0.124 0.247
W: 0.749 0.249 0.498
W: 0.251 0.751 0.502
W: 0.377 0.377 0.754
W: 0.623 0.623 0.246
V: 0.500 0.000 0.000

# 4
First-principles (GGA-PBE) data for crystalline V2Mo3W4 at its relaxed geometry, as listed in the Alexandria database.

Values from the calculation:
offset from the most stable computed form: 0.0 kJ/mol of formula units

a = 4.440 Å, b = 4.432 Å, c = 9.276 Å
α = 61.42°, β = 76.24°, γ = 60.06°
Sites, in units of the cell vectors:
V: 0.667 0.444 0.222
V: 0.333 0.556 0.778
Mo: 0.667 0.111 0.556
Mo: 0.000 0.000 0.000
Mo: 0.333 0.889 0.444
W: 0.334 0.222 0.112
W: 0.000 0.331 0.669
W: 0.000 0.669 0.331
W: 0.666 0.778 0.888

# 5
First-principles (GGA-PBE) data for crystalline VMo3W2 at its relaxed geometry, as listed in the Alexandria database.

Values from the calculation:
offset from the most stable computed form: 98.6 kJ/mol of formula units

a = 2.684 Å, b = 8.223 Å, c = 9.538 Å
α = 107.82°, β = 81.60°, γ = 109.00°
Sites, in units of the cell vectors:
V: 0.832 0.043 0.381
V: 0.168 0.957 0.619
Mo: 0.789 0.718 0.382
Mo: 0.749 0.206 0.873
Mo: 0.542 0.457 0.122
Mo: 0.211 0.282 0.618
Mo: 0.458 0.543 0.878
Mo: 0.251 0.794 0.127
W: 0.734 0.374 0.374
W: 0.266 0.626 0.626
W: 0.893 0.125 0.124
W: 0.107 0.875 0.876

# 6
First-principles (GGA-PBE) data for crystalline V2Mo3W2 at its relaxed geometry, as listed in the Alexandria database.

Values from the calculation:
offset from the most stable computed form: 11.8 kJ/mol of formula units

a = 3.124 Å, b = 5.186 Å, c = 6.957 Å
α = 97.34°, β = 90.04°, γ = 107.35°
Sites, in units of the cell vectors:
V: 0.143 0.287 0.429
V: 0.857 0.713 0.571
Mo: 0.000 0.000 0.000
Mo: 0.285 0.571 0.853
Mo: 0.715 0.429 0.147
W: 0.429 0.858 0.292
W: 0.571 0.142 0.708

# 7
First-principles (GGA-PBE) data for crystalline V6Mo3W2 at its relaxed geometry, as listed in the Alexandria database.

a = 5.079 Å, b = 5.086 Å, c = 8.886 Å
α = 74.66°, β = 86.84°, γ = 50.67°
Sites, in units of the cell vectors:
V: 0.417 0.681 0.736
V: 0.746 0.009 0.737
V: 0.084 0.332 0.752
V: 0.254 0.991 0.263
V: 0.583 0.319 0.264
V: 0.916 0.668 0.248
Mo: 0.000 0.000 0.000
Mo: 0.335 0.333 0.002
Mo: 0.665 0.667 0.998
W: 0.156 0.657 0.500
W: 0.844 0.343 0.500

# 8
First-principles (GGA-PBE) data for crystalline V8Mo4W at its relaxed geometry, as listed in the Alexandria database.

a = 2.662 Å, b = 4.369 Å, c = 17.591 Å
α = 82.77°, β = 68.38°, γ = 89.85°
Sites, in units of the cell vectors:
V: 0.219 0.290 0.304
V: 0.886 0.131 0.617
V: 0.559 0.752 0.378
V: 0.986 0.593 0.693
V: 0.605 0.438 0.001
V: 0.171 0.056 0.765
V: 0.771 0.902 0.077
V: 0.076 0.829 0.227
Mo: 0.319 0.517 0.843
Mo: 0.590 0.671 0.539
Mo: 0.083 0.213 0.457
Mo: 0.925 0.365 0.152
W: 0.455 0.977 0.924

How do the records compare in energy relative to the elements? In the order shown, they have 305, 588, -62, -85, 91, -92, 201, -32 meV/atom.